## CdCo2Se (PBE-GGA)

Data for CdCo2Se after structural relaxation.

Geometry as CIF:
```
data_CdCo2Se
_symmetry_space_group_name_H-M 'R 3 m'
_symmetry_Int_Tables_number 160
_symmetry_space_group_name_Hall 'R 3 -2"'
_cell_length_a 3.0741
_cell_length_b 3.0741
_cell_length_c 24.9190
_cell_angle_alpha 90.00
_cell_angle_beta 90.00
_cell_angle_gamma 120.00
loop_
_atom_site_label
_atom_site_type_symbol
_atom_site_fract_x
_atom_site_fract_y
_atom_site_fract_z
Cd1 Cd 0.0000 0.0000 0.0000
Co1 Co 0.0000 0.0000 0.4873
Co2 Co 0.0000 0.0000 0.7529
Se1 Se 0.0000 0.0000 0.2115
```

VASP energy   -17.50 eV per formula unit
Crystal system   trigonal
Raw formation energy   0.28 eV/atom
Excess energy over the best structure of this formula in the dataset   131 meV per atom